Entry 1:
LiMnCl2: optimized geometry, PBE.

Lattice parameters (Å, degrees): 4.652 4.652 3.182 90.00 90.00 90.00
Site moments in Bohr magnetons follow the coordinates.
Fractional coordinates of all 4 atoms:
Cl 0.500 0.500 0.000  0.04
Cl 0.000 0.000 0.000  0.04
Li 0.500 0.000 0.500  -0.01
Mn 0.000 0.500 0.500  3.86

Summary:
M_tot = 4.193 μB/f.u.
offset from the most stable computed form = 1.242 eV per formula unit
E_form (uncorrected) = -0.6518 eV per atom
energy = -4.346 eV per atom
space group = P4/mmm (123)

Entry 2:
KCuMo2: optimized geometry, PBE.

Lattice parameters (Å, degrees): 2.661 2.661 10.352 90.00 90.00 90.00
Site moments in Bohr magnetons follow the coordinates.
Fractional coordinates of all 4 atoms:
Cu 0.500 0.500 0.250  0.01
Mo 0.000 0.000 0.057  0.08
Mo 0.000 0.000 0.443  0.08
K 0.500 0.500 0.750  0.02

Summary:
M_tot = 0.292 μB/f.u.
offset from the most stable computed form = 0.996 eV per formula unit
energy of formation from the pure elements = 21.5 kcal/mol of atoms
energy = -5.783 eV per atom
space group = P4/mmm (123)

Entry 3:
Th2Co2Sb: optimized geometry, PBE.

Lattice parameters (Å, degrees): 4.089 5.677 5.677 62.66 68.89 68.89
Fractional coordinates of all 5 atoms:
Sb 0.000 0.000 0.000
Co 0.500 0.705 0.295
Co 0.500 0.295 0.705
Th 0.802 0.698 0.698
Th 0.198 0.302 0.302

Summary:
M_tot = 0.020 μB/f.u.
offset from the most stable computed form = 0.177 eV per formula unit
E_form (uncorrected) = -0.4847 eV per atom
energy = -7.119 eV per atom
space group = Immm (71)

Entry 4:
Nd2HgN: optimized geometry, PBE.

Lattice parameters (Å, degrees): 3.693 3.693 8.249 90.02 102.92 119.99
Fractional coordinates of all 4 atoms:
Nd 0.550 0.275 0.824
Nd 0.450 0.725 0.176
Hg 0.000 0.500 0.500
N 0.000 0.000 0.000

Summary:
M_tot = 0.000 μB/f.u.
offset from the most stable computed form = 0.298 eV per formula unit
E_form (uncorrected) = -0.8363 eV per atom
energy = -5.377 eV per atom
space group = R-3m (166)

Entry 5:
CrB2As: optimized geometry, PBE.

Lattice parameters (Å, degrees): 4.871 4.871 5.629 64.36 64.36 90.00
Fractional coordinates of all 8 atoms:
B 0.875 0.867 0.750
B 0.133 0.625 0.250
B 0.617 0.125 0.250
B 0.375 0.383 0.750
Cr 0.250 0.750 0.500
Cr 0.500 0.500 0.000
As 0.750 0.250 0.500
As 0.000 0.000 0.000

Summary:
M_tot = 0.001 μB/f.u.
energy of formation from the pure elements = 18.2 kcal/mol of atoms
energy = -6.118 eV per atom
space group = I-42d (122)

Entry 6:
Sm3TmBi4: optimized geometry, PBE.

Lattice parameters (Å, degrees): 6.401 6.401 6.401 90.00 90.00 90.00
Fractional coordinates of all 8 atoms:
Bi 0.000 0.000 0.500
Bi 0.500 0.500 0.500
Bi 0.500 0.000 0.000
Bi 0.000 0.500 0.000
Sm 0.000 0.500 0.500
Sm 0.500 0.500 0.000
Sm 0.500 0.000 0.500
Tm 0.000 0.000 0.000

Summary:
M_tot = 0.000 μB/f.u.
energy of formation from the pure elements = -20.5 kcal/mol of atoms
energy = -5.157 eV per atom
space group = Pm-3m (221)

> Which of these has the highest energy?

LiMnCl2

> Among the records above, which one has the highest energy?

LiMnCl2

> What is the formula in the fourth record?

Nd2HgN

> Among the records above, which one has the lowest energy?

Th2Co2Sb